*a*
Computed, not measured: an optimized crystal structure of Mo2RhW at the PBEsol level of DFT.

a b c (Å): 3.153 3.153 6.068
angles (deg): 90.00 90.00 90.00
Element x y z (fractional)
Rh: 0.500 0.500 0.000
Mo: 0.000 0.000 0.256
Mo: 0.000 0.000 0.744
W: 0.500 0.500 0.500

Properties
**Symmetry**: No. 123
**Total magnetization**: 0.0 μB per cell
**Theoretical density**: 13.17 g cm⁻³

*b*
Computed, not measured: an optimized crystal structure of Mo2RhW at the PBEsol level of DFT.

a b c (Å): 3.885 3.885 4.826
angles (deg): 113.73 113.73 90.00
Element x y z (fractional)
Rh: 0.500 0.500 0.000
W: 0.250 0.750 0.500
Mo: 0.000 0.000 0.000
Mo: 0.750 0.250 0.500

Properties
**Symmetry**: No. 119
**Total magnetization**: 0.0 μB per cell
**Theoretical density**: 13.28 g cm⁻³

The structure with the greatest stability is *b*.

*a*
Computed, not measured: an optimized crystal structure of Sc2TaTe at the PBEsol level of DFT.

a b c (Å): 3.351 5.064 5.285
angles (deg): 102.31 108.48 90.00
Element x y z (fractional)
Te: 0.758 0.264 0.517
Sc: 0.011 0.010 0.023
Sc: 0.242 0.740 0.485
Ta: 0.488 0.485 0.976

Properties
**Symmetry**: No. 8
**Total magnetization**: 0.0 μB per cell
**Theoretical density**: 7.98 g cm⁻³

*b*
Computed, not measured: an optimized crystal structure of Sc2TaTe at the PBEsol level of DFT.

a b c (Å): 3.612 3.612 6.266
angles (deg): 90.00 90.00 90.00
Site moments in Bohr magnetons follow the coordinates.
Element x y z (fractional)
Te: 0.500 0.500 0.741  0.00
Ta: 0.000 0.000 0.513  0.08
Sc: 0.000 0.000 0.989  0.23
Sc: 0.500 0.500 0.258  0.26

Properties
**Symmetry**: No. 99
**Total magnetization**: 0.9 μB per cell
**Theoretical density**: 8.09 g cm⁻³

The structure with the greatest stability is *a*.

*a*
Computed, not measured: an optimized crystal structure of InHPd3 at the PBEsol level of DFT.

a b c (Å): 4.010 4.010 4.010
angles (deg): 90.00 90.00 90.00
Element x y z (fractional)
H: 0.000 0.000 0.000
Pd: 0.000 0.000 0.500
Pd: 0.000 0.500 0.000
Pd: 0.500 0.000 0.000
In: 0.500 0.500 0.500

Properties
**Symmetry**: No. 221
**Total magnetization**: 0.0 μB per cell
**Theoretical density**: 11.20 g cm⁻³

*b*
Computed, not measured: an optimized crystal structure of InHPd3 at the PBEsol level of DFT.

a b c (Å): 4.900 4.900 4.900
angles (deg): 90.00 90.00 90.00
Element x y z (fractional)
H: 0.500 0.500 0.500
Pd: 0.500 0.000 0.000
Pd: 0.000 0.000 0.500
Pd: 0.000 0.500 0.000
In: 0.000 0.000 0.000

Properties
**Symmetry**: No. 221
**Total magnetization**: 0.0 μB per cell
**Theoretical density**: 6.14 g cm⁻³

The structure with the greatest stability is *a*.

*a*
Computed, not measured: an optimized crystal structure of Cr2SiCl at the PBEsol level of DFT.

a b c (Å): 2.961 3.834 6.600
angles (deg): 85.55 77.04 67.28
Site moments in Bohr magnetons follow the coordinates.
Element x y z (fractional)
Si: 0.000 0.500 0.500  -0.13
Cl: 0.500 0.000 0.000  0.00
Cr: 0.192 0.924 0.691  2.90
Cr: 0.808 0.076 0.309  2.90

Properties
**Symmetry**: No. 12
**Total magnetization**: 6.1 μB per cell
**Theoretical density**: 4.13 g cm⁻³

*b*
Computed, not measured: an optimized crystal structure of Cr2SiCl at the PBEsol level of DFT.

a b c (Å): 4.160 4.160 4.160
angles (deg): 60.00 60.00 60.00
Site moments in Bohr magnetons follow the coordinates.
Element x y z (fractional)
Cl: 0.500 0.500 0.500  -0.06
Cr: 0.750 0.750 0.750  1.58
Cr: 0.250 0.250 0.250  1.58
Si: 0.000 0.000 0.000  -0.12

Properties
**Symmetry**: No. 225
**Total magnetization**: 3.1 μB per cell
**Theoretical density**: 5.47 g cm⁻³

The structure with the greatest stability is *a*.

*a*
Computed, not measured: an optimized crystal structure of AgSb2TePt at the PBEsol level of DFT.

a b c (Å): 5.143 5.143 5.205
angles (deg): 90.00 90.00 90.00
Element x y z (fractional)
Sb: 0.500 0.000 0.000
Sb: 0.000 0.500 0.000
Ag: 0.000 0.000 0.000
Te: 0.000 0.000 0.500
Pt: 0.500 0.500 0.500

Properties
**Symmetry**: No. 123
**Total magnetization**: 0.0 μB per cell
**Theoretical density**: 8.13 g cm⁻³

*b*
Computed, not measured: an optimized crystal structure of AgSb2TePt at the PBEsol level of DFT.

a b c (Å): 5.131 5.131 5.436
angles (deg): 90.00 90.00 90.00
Element x y z (fractional)
Sb: 0.500 0.000 0.000
Sb: 0.000 0.500 0.000
Te: 0.000 0.000 0.500
Pt: 0.000 0.000 0.000
Ag: 0.500 0.500 0.500

Properties
**Symmetry**: No. 123
**Total magnetization**: 0.0 μB per cell
**Theoretical density**: 7.82 g cm⁻³

The structure with the greatest stability is *b*.

*a*
Computed, not measured: an optimized crystal structure of Mg2TlFe at the PBEsol level of DFT.

a b c (Å): 3.119 5.014 5.014
angles (deg): 106.76 90.00 90.00
Site moments in Bohr magnetons follow the coordinates.
Element x y z (fractional)
Mg: 0.000 0.500 0.000  -0.03
Mg: 0.000 0.000 0.500  -0.03
Fe: 0.500 0.500 0.500  2.63
Tl: 0.500 0.000 0.000  0.00

Properties
**Symmetry**: No. 65
**Total magnetization**: 2.4 μB per cell
**Theoretical density**: 6.83 g cm⁻³

*b*
Computed, not measured: an optimized crystal structure of Mg2TlFe at the PBEsol level of DFT.

a b c (Å): 4.123 4.051 5.157
angles (deg): 113.13 113.57 90.00
Site moments in Bohr magnetons follow the coordinates.
Element x y z (fractional)
Fe: 0.250 0.750 0.500  2.13
Tl: 0.498 0.498 0.996  -0.07
Mg: 0.750 0.250 0.499  -0.03
Mg: 0.002 0.002 0.004  -0.04

Properties
**Symmetry**: No. 44
**Total magnetization**: 1.7 μB per cell
**Theoretical density**: 7.19 g cm⁻³

The structure with the greatest stability is *b*.